Entry 1:
Compound: LiSc2O
Source: the Alexandria database
Functional: GGA-PBE
Structure: relaxed

Cell and atoms, written as POSCAR:
```
LiSc2O
1.0
1.7245 0.9956 8.7151
-1.7245 0.9956 8.7151
0.0000 -1.9913 8.7151
Li Sc O
1 2 1
Direct
0.0000 0.0000 0.0000
0.4287 0.4287 0.4287
0.5713 0.5713 0.5713
0.5000 0.5000 0.5000
```

## Properties
The space group is R-3m. The calculation puts the size of the total moment at 0.8 μB per formula unit. The uncorrected formation energy is -3.75 eV/f.u.

=====

Entry 2:
Compound: Li8ScO6
Source: the Alexandria database
Functional: GGA-PBE
Structure: relaxed

Cell and atoms, written as POSCAR:
```
Li8ScO6
1.0
2.7563 1.5914 5.1679
-2.7563 1.5914 5.1679
0.0000 -3.1827 5.1679
Li Sc O
8 1 6
Direct
0.0142 0.3938 0.7317
0.1591 0.1591 0.1591
0.2683 0.9858 0.6062
0.3938 0.7317 0.0142
0.6062 0.2683 0.9858
0.7317 0.0142 0.3938
0.8409 0.8409 0.8409
0.9858 0.6062 0.2683
0.5000 0.5000 0.5000
0.1090 0.7372 0.4099
0.2628 0.5901 0.8910
0.4099 0.1090 0.7372
0.5901 0.8910 0.2628
0.7372 0.4099 0.1090
0.8910 0.2628 0.5901
```

## Properties
The space group is R-3. The calculation puts the size of the total moment at 0.9 μB per formula unit. The uncorrected formation energy is -30.40 eV/f.u.

=====

Entry 3:
Compound: Li2ScO
Source: the Alexandria database
Functional: GGA-PBE
Structure: relaxed

Cell and atoms, written as POSCAR:
```
Li2ScO
1.0
0.0000 4.1408 4.1408
4.1408 0.0000 4.1408
4.1408 4.1408 0.0000
Li Sc O
4 2 2
Direct
0.0000 0.0000 0.0000
0.0000 0.0000 0.5000
0.0000 0.5000 0.0000
0.5000 0.0000 0.0000
0.3750 0.3750 0.3750
0.6250 0.6250 0.6250
0.1250 0.1250 0.1250
0.8750 0.8750 0.8750
```

## Properties
The space group is Fd-3m. The calculation puts the size of the total moment at 1.2 μB per formula unit. The uncorrected formation energy is -2.69 eV/f.u.

=====

Entry 4:
Compound: Li3ScO
Source: the Alexandria database
Functional: GGA-PBE
Structure: relaxed

Cell and atoms, written as POSCAR:
```
Li3ScO
1.0
4.1743 0.0000 0.0000
0.0000 4.1743 0.0000
0.0000 0.0000 4.1743
Li Sc O
3 1 1
Direct
0.0000 0.0000 0.5000
0.0000 0.5000 0.0000
0.5000 0.0000 0.0000
0.5000 0.5000 0.5000
0.0000 0.0000 0.0000
```

## Properties
The space group is Pm-3m. The calculation puts the size of the total moment at 2.0 μB per formula unit. The calculation puts the energy above the most stable polymorph in this dataset at 0 meV per atom. The uncorrected formation energy is -2.41 eV/f.u.